Below is an optimized crystal structure of Rb2BaHf, with properties calculated at the PBE level.

Cell: 9.335 9.335 9.335 Å, 90.00 90.00 90.00°
Fractional positions:
1 Rb 0.250 0.250 0.250
2 Rb 0.250 0.250 0.750
3 Rb 0.250 0.750 0.250
4 Rb 0.250 0.750 0.750
5 Rb 0.750 0.250 0.250
6 Rb 0.750 0.250 0.750
7 Rb 0.750 0.750 0.250
8 Rb 0.750 0.750 0.750
9 Ba 0.000 0.000 0.000
10 Ba 0.000 0.500 0.500
11 Ba 0.500 0.000 0.500
12 Ba 0.500 0.500 0.000
13 Hf 0.000 0.000 0.500
14 Hf 0.000 0.500 0.000
15 Hf 0.500 0.000 0.000
16 Hf 0.500 0.500 0.500

**M_tot**: 2.0 μB per formula unit
**ΔH_f (0 K)**: 1.14 eV/atom
**E above lowest polymorph**: 56.3 meV/atom

=====

Below is an optimized crystal structure of RbBaHf3, with properties calculated at the PBE level.

Cell: 5.562 5.562 5.562 Å, 90.00 90.00 90.00°
Fractional positions:
1 Rb 0.000 0.000 0.000
2 Ba 0.500 0.500 0.500
3 Hf 0.000 0.500 0.500
4 Hf 0.500 0.000 0.500
5 Hf 0.500 0.500 0.000

**M_tot**: 0.7 μB per formula unit
**ΔH_f (0 K)**: 2.00 eV/atom
**E above lowest polymorph**: 0.0 meV/atom